DFT (GGA+U) results for crystalline Li6Co5O10 at its relaxed geometry.

```
Li6Co5O10
1.0
5.3968 0.0000 0.0000
1.4892 5.2265 0.0000
1.6932 -0.3520 8.2215
Li Co O
6 5 10
direct
0.0000 0.0000 0.0000
0.0007 0.9541 0.6313
0.0921 0.5029 0.4862
0.1078 0.9877 0.2989
0.1112 0.4733 0.1019
0.9639 0.4391 0.8210
0.5160 0.3518 0.7588
0.5310 0.9467 0.9608
0.5419 0.7400 0.5555
0.5673 0.5230 0.1522
0.5759 0.1222 0.3514
0.2682 0.2340 0.8960
0.2793 0.5972 0.6579
0.2944 0.7733 0.1006
0.3137 0.9996 0.4722
0.3304 0.3747 0.2780
0.7698 0.4826 0.6353
0.7774 0.1194 0.8324
0.8015 0.6645 0.0238
0.8091 0.8785 0.4517
0.8233 0.2434 0.2097
```

Results
The size of the total moment comes out at 3.00 μB/f.u. The value obtained for the total energy is -115.54 eV/cell.